1.
Computed, not measured: a relaxed ThH2Br3 crystal at the PBE level of DFT.

a = 8.1575 Å, b = 8.1575 Å, c = 7.0125 Å
α = 90.00°, β = 90.00°, γ = 120.00°
Positions (direct):
Th 0.0000 0.0000 0.0000
Th 0.0000 0.0000 0.5000
H 0.3333 0.6667 0.1964
H 0.3333 0.6667 0.3036
H 0.6667 0.3333 0.6964
H 0.6667 0.3333 0.8036
Br 0.1669 0.3337 0.7500
Br 0.1669 0.8331 0.7500
Br 0.3337 0.1669 0.2500
Br 0.6663 0.8331 0.7500
Br 0.8331 0.1669 0.2500
Br 0.8331 0.6663 0.2500

Computed properties:
Space group: P6_3/mmc, No. 194
Uncorrected energy in Ry per atom: -0.3133
Volume in A^3/atom: 33.68
Spin magnetization in μB/atom: 0.035

2.
Computed, not measured: a relaxed SrFePt2 crystal at the PBE level of DFT.

a = 5.3309 Å, b = 5.3309 Å, c = 5.3309 Å
α = 134.66°, β = 134.66°, γ = 66.06°
Positions (direct):
Sr 0.0000 0.0000 0.0000
Fe 0.2500 0.7500 0.5000
Pt 0.5000 0.5000 0.0000
Pt 0.7500 0.2500 0.5000

Computed properties:
Space group: I-4m2, No. 119
Uncorrected energy in Ry per atom: -0.4087
ΔH_f (0 K) in eV per atom: -0.005
Volume in A^3/atom: 18.87
Spin magnetization in μB/atom: 0.910

3.
Computed, not measured: a relaxed Pm7Co2Ni2 crystal at the PBE level of DFT.

a = 6.7113 Å, b = 6.7113 Å, c = 6.8503 Å
α = 90.00°, β = 90.00°, γ = 113.65°
Positions (direct):
Pm 0.0000 0.0000 0.0000
Pm 0.0000 0.5000 0.2642
Pm 0.0000 0.5000 0.7358
Pm 0.5000 0.0000 0.2642
Pm 0.5000 0.0000 0.7358
Pm 0.5000 0.5000 0.2576
Pm 0.5000 0.5000 0.7424
Co 0.3039 0.6961 0.0000
Co 0.6961 0.3039 0.0000
Ni 0.1666 0.1666 0.5000
Ni 0.8334 0.8334 0.5000

Computed properties:
Space group: Cmmm, No. 65
Uncorrected energy in Ry per atom: -0.3937
ΔH_f (0 K) in eV per atom: 0.010
Volume in A^3/atom: 25.70
Spin magnetization in μB/atom: 0.000

4.
Computed, not measured: a relaxed Zr2GaCu crystal at the PBE level of DFT.

a = 8.0113 Å, b = 8.0113 Å, c = 8.0113 Å
α = 156.15°, β = 156.15°, γ = 33.98°
Positions (direct):
Zr 0.1827 0.1827 0.0000
Zr 0.8173 0.8173 0.0000
Ga 0.0000 0.0000 0.0000
Cu 0.5000 0.5000 0.0000

Computed properties:
Space group: I4/mmm, No. 139
Uncorrected energy in Ry per atom: -0.4306
ΔH_f (0 K) in eV per atom: 0.196
Volume in A^3/atom: 20.99
Spin magnetization in μB/atom: 0.000

5.
Computed, not measured: a relaxed NaLiCo2N crystal at the PBE level of DFT.

a = 3.6865 Å, b = 3.6865 Å, c = 4.3488 Å
α = 90.00°, β = 90.00°, γ = 90.00°
Positions (direct):
Na 0.0000 0.0000 0.0000
Li 0.5000 0.5000 0.0000
Co 0.0000 0.5000 0.5000
Co 0.5000 0.0000 0.5000
N 0.5000 0.5000 0.5000

Computed properties:
Uncorrected formation energy in eV/f.u.: -0.02
Space group: P4/mmm, No. 123
Uncorrected energy in Ry per atom: -0.3791
Volume in A^3/atom: 11.82
Spin magnetization in μB/atom: 0.091

6.
Computed, not measured: a relaxed Sr3LiHo3Te8 crystal at the PBE level of DFT.

a = 9.1440 Å, b = 9.1440 Å, c = 9.1440 Å
α = 58.46°, β = 58.46°, γ = 58.46°
Positions (direct):
Sr 0.0000 0.5000 0.5000
Sr 0.5000 0.0000 0.5000
Sr 0.5000 0.5000 0.0000
Li 0.5000 0.5000 0.5000
Ho 0.0000 0.0000 0.5000
Ho 0.0000 0.5000 0.0000
Ho 0.5000 0.0000 0.0000
Te 0.2367 0.7443 0.7443
Te 0.2431 0.2431 0.2431
Te 0.2557 0.2557 0.7633
Te 0.2557 0.7633 0.2557
Te 0.7443 0.2367 0.7443
Te 0.7443 0.7443 0.2367
Te 0.7569 0.7569 0.7569
Te 0.7633 0.2557 0.2557

Computed properties:
Uncorrected formation energy in eV/f.u.: -21.37
Space group: R-3m, No. 166
Uncorrected energy in Ry per atom: -0.3293
Volume in A^3/atom: 34.77
Spin magnetization in μB/atom: 0.000

7.
Computed, not measured: a relaxed BePRu2 crystal at the PBE level of DFT.

a = 2.9557 Å, b = 2.9557 Å, c = 5.4661 Å
α = 90.00°, β = 90.00°, γ = 90.00°
Positions (direct):
Be 0.0000 0.0000 0.0000
P 0.5000 0.5000 0.2326
Ru 0.0000 0.0000 0.4509
Ru 0.5000 0.5000 0.8125

Computed properties:
Space group: P4mm, No. 99
Uncorrected energy in Ry per atom: -0.5336
ΔH_f (0 K) in eV per atom: -0.338
Volume in A^3/atom: 11.94
Spin magnetization in μB/atom: 0.000

8.
Computed, not measured: a relaxed SrLiBeF5 crystal at the PBE level of DFT.

a = 5.7059 Å, b = 5.7059 Å, c = 6.7048 Å
α = 100.26°, β = 100.26°, γ = 106.40°
Positions (direct):
Sr 0.1623 0.8377 0.7500
Sr 0.8377 0.1623 0.2500
Li 0.5000 0.5000 0.0000
Li 0.5000 0.5000 0.5000
Be 0.1890 0.8110 0.2500
Be 0.8110 0.1890 0.7500
F 0.0541 0.2264 0.9229
F 0.1643 0.5929 0.3647
F 0.2264 0.0541 0.4229
F 0.4071 0.8357 0.1353
F 0.4209 0.5791 0.7500
F 0.5791 0.4209 0.2500
F 0.5929 0.1643 0.8647
F 0.7736 0.9459 0.5771
F 0.8357 0.4071 0.6353
F 0.9459 0.7736 0.0771

Computed properties:
Uncorrected formation energy in eV/f.u.: -27.49
Space group: C2/c, No. 15
Uncorrected energy in Ry per atom: -0.4058
Volume in A^3/atom: 12.50
Spin magnetization in μB/atom: 0.008

9.
Computed, not measured: a relaxed AlZnTc3 crystal at the PBE level of DFT.

a = 4.4511 Å, b = 4.4511 Å, c = 4.4511 Å
α = 90.00°, β = 90.00°, γ = 90.00°
Positions (direct):
Al 0.0000 0.0000 0.0000
Zn 0.5000 0.5000 0.5000
Tc 0.0000 0.0000 0.5000
Tc 0.0000 0.5000 0.0000
Tc 0.5000 0.0000 0.0000

Computed properties:
Space group: Pm-3m, No. 221
Uncorrected energy in Ry per atom: -0.4297
ΔH_f (0 K) in eV per atom: 1.377
Volume in A^3/atom: 17.64
Spin magnetization in μB/atom: 0.000

10.
Computed, not measured: a relaxed Pa3NiGe3 crystal at the PBE level of DFT.

a = 5.7068 Å, b = 5.7068 Å, c = 13.6992 Å
α = 103.74°, β = 103.74°, γ = 42.10°
Positions (direct):
Pa 0.0342 0.0342 0.3843
Pa 0.0757 0.0757 0.9184
Pa 0.2682 0.2682 0.2322
Pa 0.7318 0.7318 0.7678
Pa 0.9243 0.9243 0.0816
Pa 0.9658 0.9658 0.6157
Ni 0.2586 0.2586 0.6125
Ni 0.7414 0.7414 0.3875
Ge 0.3511 0.3511 0.9222
Ge 0.3523 0.3523 0.4552
Ge 0.4484 0.4484 0.7630
Ge 0.5516 0.5516 0.2370
Ge 0.6477 0.6477 0.5448
Ge 0.6489 0.6489 0.0778

Computed properties:
Space group: C2/m, No. 12
Uncorrected energy in Ry per atom: -0.5419
ΔH_f (0 K) in eV per atom: -0.499
Volume in A^3/atom: 20.66
Spin magnetization in μB/atom: 0.022

11.
Computed, not measured: a relaxed Ba6LiAg5 crystal at the PBE level of DFT.

a = 5.8371 Å, b = 8.3706 Å, c = 9.2681 Å
α = 90.00°, β = 108.42°, γ = 90.00°
Positions (direct):
Ba 0.0000 0.2380 0.0000
Ba 0.0000 0.7620 0.0000
Ba 0.3294 0.2468 0.6585
Ba 0.3294 0.7532 0.6585
Ba 0.6706 0.2468 0.3415
Ba 0.6706 0.7532 0.3415
Li 0.5000 0.5000 0.0000
Ag 0.1561 0.5000 0.3134
Ag 0.1674 0.0000 0.3351
Ag 0.5000 0.0000 0.0000
Ag 0.8326 0.0000 0.6649
Ag 0.8439 0.5000 0.6866

Computed properties:
Space group: P2/m, No. 10
Uncorrected energy in Ry per atom: -0.1835
ΔH_f (0 K) in eV per atom: -0.187
Volume in A^3/atom: 35.80
Spin magnetization in μB/atom: 0.000

12.
Computed, not measured: a relaxed Ca2LaMo2 crystal at the PBE level of DFT.

a = 12.1523 Å, b = 12.1523 Å, c = 12.1523 Å
α = 163.08°, β = 163.08°, γ = 24.01°
Positions (direct):
Ca 0.1333 0.1333 0.0000
Ca 0.8667 0.8667 0.0000
La 0.5000 0.5000 0.0000
Mo 0.2500 0.7500 0.5000
Mo 0.7500 0.2500 0.5000

Computed properties:
Space group: I4/mmm, No. 139
Uncorrected energy in Ry per atom: -0.4082
ΔH_f (0 K) in eV per atom: 0.564
Volume in A^3/atom: 30.38
Spin magnetization in μB/atom: 0.001

13.
Computed, not measured: a relaxed Dy2HoTmTl2 crystal at the PBE level of DFT.

a = 5.0651 Å, b = 9.9174 Å, c = 6.8073 Å
α = 90.00°, β = 90.00°, γ = 90.00°
Positions (direct):
Dy 0.0000 0.0431 0.0000
Dy 0.0000 0.9569 0.5000
Dy 0.5000 0.1876 0.2826
Dy 0.5000 0.8124 0.7826
Ho 0.5000 0.4574 0.9073
Ho 0.5000 0.5426 0.4073
Tm 0.0000 0.3120 0.6239
Tm 0.0000 0.6880 0.1239
Tl 0.0000 0.3696 0.1640
Tl 0.0000 0.6304 0.6640
Tl 0.5000 0.1358 0.7461
Tl 0.5000 0.8642 0.2461

Computed properties:
Space group: Pmc2_1, No. 26
Uncorrected energy in Ry per atom: -0.3010
ΔH_f (0 K) in eV per atom: -0.265
Volume in A^3/atom: 28.50
Spin magnetization in μB/atom: 0.000

14.
Computed, not measured: a relaxed Ba5Cu3 crystal at the PBE level of DFT.

a = 8.2264 Å, b = 8.2264 Å, c = 5.0400 Å
α = 90.00°, β = 90.00°, γ = 109.75°
Positions (direct):
Ba 0.0000 0.0000 0.0000
Ba 0.0000 0.5000 0.0000
Ba 0.2995 0.2995 0.5000
Ba 0.5000 0.0000 0.0000
Ba 0.7005 0.7005 0.5000
Cu 0.1620 0.8380 0.5000
Cu 0.5000 0.5000 0.0000
Cu 0.8380 0.1620 0.5000

Computed properties:
Space group: Cmmm, No. 65
Uncorrected energy in Ry per atom: -0.1899
ΔH_f (0 K) in eV per atom: 0.154
Volume in A^3/atom: 40.13
Spin magnetization in μB/atom: 0.000

15.
Computed, not measured: a relaxed Al2RhAu crystal at the PBE level of DFT.

a = 5.0557 Å, b = 5.0557 Å, c = 5.0557 Å
α = 136.62°, β = 136.62°, γ = 63.02°
Positions (direct):
Al 0.0000 0.0000 0.0000
Al 0.7500 0.2500 0.5000
Rh 0.5000 0.5000 0.0000
Au 0.2500 0.7500 0.5000

Computed properties:
Space group: I-4m2, No. 119
Uncorrected energy in Ry per atom: -0.3790
ΔH_f (0 K) in eV per atom: -0.628
Volume in A^3/atom: 15.05
Spin magnetization in μB/atom: 0.000

16.
Computed, not measured: a relaxed HfPa2Ge2 crystal at the PBE level of DFT.

a = 7.2117 Å, b = 7.2117 Å, c = 4.2672 Å
α = 90.00°, β = 90.00°, γ = 90.00°
Positions (direct):
Hf 0.0000 0.0000 0.0000
Hf 0.5000 0.5000 0.0000
Pa 0.1773 0.3227 0.5000
Pa 0.3227 0.8227 0.5000
Pa 0.6773 0.1773 0.5000
Pa 0.8227 0.6773 0.5000
Ge 0.1281 0.6281 0.0000
Ge 0.3719 0.1281 0.0000
Ge 0.6281 0.8719 0.0000
Ge 0.8719 0.3719 0.0000

Computed properties:
Space group: P4/mbm, No. 127
Uncorrected energy in Ry per atom: -0.5943
ΔH_f (0 K) in eV per atom: -0.450
Volume in A^3/atom: 22.19
Spin magnetization in μB/atom: 0.000

17.
Computed, not measured: a relaxed YPaGa2O8 crystal at the PBE level of DFT.

a = 6.0095 Å, b = 6.0095 Å, c = 6.0095 Å
α = 108.25°, β = 108.25°, γ = 111.95°
Positions (direct):
Y 0.0000 0.0000 0.0000
Pa 0.7500 0.2500 0.5000
Ga 0.2500 0.7500 0.5000
Ga 0.5000 0.5000 0.0000
O 0.0542 0.3708 0.3166
O 0.0542 0.7376 0.6834
O 0.1194 0.3132 0.8062
O 0.2624 0.9458 0.3166
O 0.5069 0.3132 0.1938
O 0.6292 0.9458 0.6834
O 0.6868 0.4931 0.8062
O 0.6868 0.8806 0.1938

Computed properties:
Uncorrected formation energy in eV/f.u.: -28.28
Space group: I-4m2, No. 119
Uncorrected energy in Ry per atom: -0.5510
Volume in A^3/atom: 13.90
Spin magnetization in μB/atom: 0.145

18.
Computed, not measured: a relaxed Ta3Co crystal at the PBE level of DFT.

a = 5.2093 Å, b = 5.2093 Å, c = 5.2093 Å
α = 136.44°, β = 136.44°, γ = 63.30°
Positions (direct):
Ta 0.0000 0.0000 0.0000
Ta 0.2500 0.7500 0.5000
Ta 0.7500 0.2500 0.5000
Co 0.5000 0.5000 0.0000

Computed properties:
Space group: I4/mmm, No. 139
Uncorrected energy in Ry per atom: -0.7756
ΔH_f (0 K) in eV per atom: 0.113
Volume in A^3/atom: 16.57
Spin magnetization in μB/atom: 0.000

19.
Computed, not measured: a relaxed MgBF6 crystal at the PBE level of DFT.

a = 5.0883 Å, b = 5.0883 Å, c = 5.0883 Å
α = 60.00°, β = 60.00°, γ = 60.00°
Positions (direct):
Mg 0.0000 0.0000 0.0000
B 0.5000 0.5000 0.5000
F 0.2770 0.2770 0.7230
F 0.2770 0.7230 0.2770
F 0.2770 0.7230 0.7230
F 0.7230 0.2770 0.2770
F 0.7230 0.2770 0.7230
F 0.7230 0.7230 0.2770

Computed properties:
Uncorrected formation energy in eV/f.u.: -18.77
Space group: Fm-3m, No. 225
Uncorrected energy in Ry per atom: -0.3516
Volume in A^3/atom: 11.64
Spin magnetization in μB/atom: 0.131

20.
Computed, not measured: a relaxed BeTlTeN2 crystal at the PBE level of DFT.

a = 4.0766 Å, b = 4.0766 Å, c = 5.3892 Å
α = 90.00°, β = 90.00°, γ = 90.00°
Positions (direct):
Be 0.0000 0.0000 0.0000
Tl 0.5000 0.5000 0.5000
Te 0.0000 0.0000 0.5000
N 0.0000 0.5000 0.0000
N 0.5000 0.0000 0.0000

Computed properties:
Uncorrected formation energy in eV/f.u.: 6.86
Space group: P4/mmm, No. 123
Uncorrected energy in Ry per atom: -0.2796
Volume in A^3/atom: 17.91
Spin magnetization in μB/atom: 0.773